# BaReCl | the Alexandria database | PBE | optimized geometry
# DOS(E_F)   16.6 states/eV per cell
# Raw formation energy   1.135 eV/atom
# Relative energy among the computed polymorphs   0.3831 eV per atom
# Crystal system   cubic
data_BaReCl
_symmetry_space_group_name_H-M 'F -4 3 m'
_symmetry_Int_Tables_number 216
_symmetry_space_group_name_Hall 'F -4 2 3'
_cell_length_a 7.5259
_cell_length_b 7.5259
_cell_length_c 7.5259
_cell_angle_alpha 90.00
_cell_angle_beta 90.00
_cell_angle_gamma 90.00
loop_
_atom_site_label
_atom_site_fract_x
_atom_site_fract_y
_atom_site_fract_z
Ba1 0.0000 0.0000 0.0000
Re1 0.2500 0.2500 0.2500
Cl1 0.0000 0.0000 0.5000